Here is a relaxed SiPtSe2Br crystal from Alexandria. Energies are from PBE.

a b c (Å): 4.887 4.887 4.709
angles (deg): 90.00 90.00 90.00
Element x y z (fractional)
Pt 0.500 0.500 0.500
Se 0.000 0.500 0.000
Se 0.500 0.000 0.000
Si 0.000 0.000 0.000
Br 0.000 0.000 0.500

Results
density of states at the Fermi level: 1.294 states/eV per atom
space group: P4/mmm, No. 123
magnetization: 0.0000 μB per atom
DFT total energy: -3.264 eV per atom